VASP calculation (PBE-GGA) on a geometry-optimized Nd3SbBr structure.

Energy ... -4.920 eV per atom
Theoretical density ... 6.48 g/cm3
DOS(E_F) ... 4.110 states/eV/f.u.
Formation energy from raw total energies ... -4.5 eV/f.u.

Unit cell a=4.2821 b=8.3643 c=9.0857 alpha=92.42 beta=90.00 gamma=90.00
Closest atoms and distances in Å follow each position.
Sites, in units of the cell vectors:
Nd  0.2500  0.3827  0.6207  2 Br 3.05, 3 Sb 3.17-3.35
Nd  0.2500  0.6753  0.0139  1 Br 3.03, 2 Sb 3.23
Nd  0.7500  0.3247  0.9861  1 Br 3.03, 2 Sb 3.23
Nd  0.2500  0.8838  0.6398  3 Br 3.03-3.04, 2 Sb 3.19
Nd  0.7500  0.1162  0.3602  3 Br 3.03-3.04, 2 Sb 3.19
Nd  0.7500  0.6173  0.3793  2 Br 3.05, 3 Sb 3.17-3.35
Br  0.2500  0.8620  0.3065  6 Nd 3.03-3.05
Br  0.7500  0.1380  0.6935  6 Nd 3.03-3.05
Sb  0.2500  0.3681  0.2512  8 Nd 3.17-3.42
Sb  0.7500  0.6319  0.7488  8 Nd 3.17-3.42

---

VASP calculation (PBE-GGA) on a geometry-optimized Ti3CrNi12 structure.

Energy ... -6.765 eV per atom
Theoretical density ... 8.02 g/cm3
DOS(E_F) ... 9.224 states/eV/f.u.
Energy of formation from the pure elements ... -33.5 kJ/mol of atoms

Unit cell a=3.5938 b=3.5938 c=14.4250 alpha=90.00 beta=90.00 gamma=90.00
Closest atoms and distances in Å follow each position.
Sites, in units of the cell vectors:
Ni  0.5000  0.5000  0.7506  4 Ti 2.54, 8 Ni 2.55
Ni  0.5000  0.5000  0.5000  4 Ti 2.54, 8 Ni 2.55
Ni  0.0000  0.5000  0.1239  2 Ti 2.53, 2 Cr 2.53, 8 Ni 2.53-2.55
Ni  0.0000  0.5000  0.3748  8 Ni 2.54-2.55, 4 Ti 2.55-2.57
Ni  0.5000  0.5000  0.2494  4 Ti 2.54, 8 Ni 2.55
Ni  0.5000  0.0000  0.6252  8 Ni 2.54-2.55, 4 Ti 2.55-2.57
Ni  0.5000  0.0000  0.8761  2 Ti 2.53, 2 Cr 2.53, 8 Ni 2.53-2.55
Ni  0.5000  0.5000  0.0000  8 Ni 2.53, 4 Cr 2.54
Ni  0.5000  0.0000  0.1239  2 Ti 2.53, 2 Cr 2.53, 8 Ni 2.53-2.55
Ni  0.0000  0.5000  0.8761  2 Ti 2.53, 2 Cr 2.53, 8 Ni 2.53-2.55
Ni  0.5000  0.0000  0.3748  8 Ni 2.54-2.55, 4 Ti 2.55-2.57
Ni  0.0000  0.5000  0.6252  8 Ni 2.54-2.55, 4 Ti 2.55-2.57
Ti  0.0000  0.0000  0.5000  12 Ni 2.54-2.55
Ti  0.0000  0.0000  0.2473  12 Ni 2.53-2.57
Ti  0.0000  0.0000  0.7527  12 Ni 2.53-2.57
Cr  0.0000  0.0000  0.0000  12 Ni 2.53-2.54

---

VASP calculation (PBE-GGA) on a geometry-optimized YTaW2 structure.

Energy ... -10.383 eV per atom
Theoretical density ... 13.85 g/cm3
DOS(E_F) ... 4.978 states/eV/f.u.
Offset from the most stable computed form ... 365.8 meV per atom
Energy of formation from the pure elements ... 64.9 kJ/mol of atoms

Unit cell a=10.5019 b=10.5019 c=10.5019 alpha=15.97 beta=15.97 gamma=15.97
Closest atoms and distances in Å follow each position.
Sites, in units of the cell vectors:
W  0.4957  0.4957  0.4957  6 W 2.92, 3 Ta 2.98, 3 Y 3.21
W  0.0043  0.0043  0.0043  6 W 2.92, 3 Ta 2.98, 3 Y 3.21
Ta  0.7500  0.7500  0.7500  6 Ta 2.92, 6 W 2.98
Y  0.2500  0.2500  0.2500  6 Y 2.92, 6 W 3.21

---

VASP calculation (PBE-GGA) on a geometry-optimized Na2TcPtO4 structure.

Energy ... -5.925 eV per atom
Theoretical density ... 6.08 g/cm3
DOS(E_F) ... 3.096 states/eV/f.u.
Formation energy from raw total energies ... -8.5 eV/f.u.

Unit cell a=5.2338 b=5.2338 c=5.2338 alpha=105.81 beta=111.33 gamma=111.33
Closest atoms and distances in Å follow each position.
Sites, in units of the cell vectors:
O  0.9716  0.4605  0.1165  1 Tc 1.90, 1 Pt 2.10
O  0.0284  0.1449  0.4889  1 Tc 1.90, 1 Pt 2.10
O  0.6560  0.5111  0.5395  1 Tc 1.90, 1 Pt 2.10
O  0.3440  0.8835  0.8551  1 Tc 1.90, 1 Pt 2.10
Pt  0.5000  0.2500  0.7500  4 O 2.10
Na  0.5000  0.7500  0.2500  4 O 2.32
Na  0.0000  0.0000  0.0000  4 O 2.39
Tc  0.0000  0.5000  0.5000  4 O 1.90

---

VASP calculation (PBE-GGA) on a geometry-optimized YInOs4 structure.

Energy ... -8.894 eV per atom
Theoretical density ... 15.14 g/cm3
DOS(E_F) ... 8.211 states/eV/f.u.
Energy of formation from the pure elements ... 12.2 kJ/mol of atoms

Unit cell a=5.3094 b=5.3094 c=5.3094 alpha=60.00 beta=60.00 gamma=60.00
Closest atoms and distances in Å follow each position.
Sites, in units of the cell vectors:
In  0.0000  0.0000  0.0000  12 Os 3.11, 4 Y 3.25
Os  0.8762  0.3746  0.3746  6 Os 2.65-2.66
Os  0.3746  0.3746  0.8762  6 Os 2.65-2.66
Os  0.3746  0.8762  0.3746  6 Os 2.65-2.66
Os  0.3746  0.3746  0.3746  6 Os 2.65-2.66
Y  0.7500  0.7500  0.7500  12 Os 3.11, 4 In 3.25

---

VASP calculation (PBE-GGA) on a geometry-optimized Ti2MnAs2 structure.

Energy ... -7.379 eV per atom
Theoretical density ... 6.68 g/cm3
DOS(E_F) ... 2.939 states/eV/f.u.
Energy of formation from the pure elements ... -50.9 kJ/mol of atoms

Unit cell a=6.2551 b=6.2551 c=3.8183 alpha=90.00 beta=90.00 gamma=90.00
Closest atoms and distances in Å follow each position.
Sites, in units of the cell vectors:
Mn  0.0000  0.0000  0.0000  4 As 2.38
Mn  0.5000  0.5000  0.0000  4 As 2.38
Ti  0.8412  0.3412  0.5000  6 As 2.55-2.72, 1 Ti 2.81
Ti  0.6588  0.8412  0.5000  6 As 2.55-2.72, 1 Ti 2.81
Ti  0.1588  0.6588  0.5000  6 As 2.55-2.72, 1 Ti 2.81
Ti  0.3412  0.1588  0.5000  6 As 2.55-2.72, 1 Ti 2.81
As  0.6502  0.1502  0.0000  2 Mn 2.38, 2 Ti 2.55, 1 As 2.66
As  0.1502  0.3498  0.0000  2 Mn 2.38, 2 Ti 2.55, 1 As 2.66
As  0.8498  0.6502  0.0000  2 Mn 2.38, 2 Ti 2.55, 1 As 2.66
As  0.3498  0.8498  0.0000  2 Mn 2.38, 2 Ti 2.55, 1 As 2.66

---

VASP calculation (PBE-GGA) on a geometry-optimized YSnPd2 structure.

Energy ... -5.629 eV per atom
Theoretical density ... 7.71 g/cm3
DOS(E_F) ... 3.518 states/eV/f.u.
Energy of formation from the pure elements ... -40.2 kJ/mol of atoms

Unit cell a=4.4407 b=4.4407 c=9.7111 alpha=76.78 beta=76.78 gamma=90.00
Closest atoms and distances in Å follow each position.
Sites, in units of the cell vectors:
Y  0.5000  0.5000  0.0000  4 Pd 2.86, 4 Sn 3.14
Y  0.2500  0.7500  0.5000  4 Pd 2.86, 4 Sn 3.14
Pd  0.6646  0.1250  0.2500  2 Sn 2.72, 2 Y 2.86, 2 Pd 2.90
Pd  0.3750  0.3354  0.7500  2 Sn 2.72, 2 Y 2.86, 2 Pd 2.90
Pd  0.8750  0.9146  0.7500  2 Sn 2.72, 2 Y 2.86, 2 Pd 2.90
Pd  0.0854  0.6250  0.2500  2 Sn 2.72, 2 Y 2.86, 2 Pd 2.90
Sn  0.0000  0.0000  0.0000  4 Pd 2.72
Sn  0.7500  0.2500  0.5000  4 Pd 2.72

---

VASP calculation (PBE-GGA) on a geometry-optimized CrP2Rh structure.

Energy ... -7.016 eV per atom
Theoretical density ... 6.67 g/cm3
DOS(E_F) ... 3.261 states/eV/f.u.
Offset from the most stable computed form ... 321.7 meV per atom
Energy of formation from the pure elements ... -6.5 kJ/mol of atoms

Unit cell a=7.3773 b=7.3773 c=7.3773 alpha=23.05 beta=23.05 gamma=23.05
Closest atoms and distances in Å follow each position.
Sites, in units of the cell vectors:
P  0.2496  0.2496  0.2496  3 Rh 2.34, 3 P 2.51
P  0.0022  0.0022  0.0022  3 Cr 2.29, 3 P 2.51
Cr  0.7399  0.7399  0.7399  3 P 2.29
Rh  0.5082  0.5082  0.5082  3 P 2.34

---

Which of these has the lowest energy? YTaW2